(1)
VASP calculation (PBE) on a geometry-optimized Mn2SbRu structure.

a = 3.990 Å, b = 3.990 Å, c = 7.624 Å
α = 90.00°, β = 90.00°, γ = 90.00°
Space group I-4m2 (No. 119)
Symmetry-distinct sites (fractional):
Mn1 0.000 0.000 0.000 x2
Mn2 0.000 0.500 0.250 x2
Sb1 0.000 0.500 0.750 x2
Ru1 0.000 0.000 0.500 x2

Density in g/cm3: 9.106
Raw formation energy in eV per atom: 0.1036
Calculated total energy in eV/atom: -7.831

=====

(2)
VASP calculation (PBE) on a geometry-optimized Mn2SbRu structure.

a = 3.861 Å, b = 3.861 Å, c = 3.990 Å
α = 90.00°, β = 90.00°, γ = 90.00°
Space group P4/mmm (No. 123)
Symmetry-distinct sites (fractional):
Mn1 0.000 0.500 0.000 x2
Sb1 0.000 0.000 0.500 x1
Ru1 0.500 0.500 0.500 x1

Density in g/cm3: 9.287
Raw formation energy in eV per atom: 0.0653
Calculated total energy in eV/atom: -7.869

=====

(3)
VASP calculation (PBE) on a geometry-optimized MnSbRu3 structure.

a = 4.446 Å, b = 4.446 Å, c = 4.446 Å
α = 90.00°, β = 90.00°, γ = 90.00°
Space group Pm-3m (No. 221)
Symmetry-distinct sites (fractional):
Mn1 0.000 0.000 0.000 x1
Sb1 0.500 0.500 0.500 x1
Ru1 0.000 0.000 0.500 x3

Density in g/cm3: 9.065
Raw formation energy in eV per atom: 1.0414
Calculated total energy in eV/atom: -7.182
Energy above the lowest structure with this stoichiometry in meV per atom: 0

=====

(4)
VASP calculation (PBE) on a geometry-optimized MnSb2Ru structure.

a = 6.768 Å, b = 6.768 Å, c = 6.768 Å
α = 90.00°, β = 90.00°, γ = 90.00°
Space group F-43m (No. 216)
Symmetry-distinct sites (fractional):
Mn1 0.000 0.000 0.000 x4
Sb1 0.000 0.000 0.500 x4
Sb2 0.250 0.250 0.250 x4
Ru1 0.250 0.250 0.750 x4

Density in g/cm3: 8.560
Raw formation energy in eV per atom: 0.5020
Calculated total energy in eV/atom: -6.171
Energy above the lowest structure with this stoichiometry in meV per atom: 453

=====

(5)
VASP calculation (PBE) on a geometry-optimized MnSb2Ru structure.

a = 4.699 Å, b = 4.709 Å, c = 6.594 Å
α = 90.00°, β = 90.00°, γ = 90.00°
Space group Immm (No. 71)
Symmetry-distinct sites (fractional):
Mn1 0.000 0.000 0.000 x2
Sb1 0.000 0.500 0.250 x4
Ru1 0.000 0.000 0.500 x2

Density in g/cm3: 9.095
Raw formation energy in eV per atom: 0.2222
Calculated total energy in eV/atom: -6.450
Energy above the lowest structure with this stoichiometry in meV per atom: 174

=====

(6)
VASP calculation (PBE) on a geometry-optimized Mn2SbRu structure.

a = 2.996 Å, b = 4.482 Å, c = 4.772 Å
α = 90.00°, β = 94.01°, γ = 90.00°
Space group P2/m (No. 10)
Symmetry-distinct sites (fractional):
Mn1 0.240 0.000 0.235 x2
Sb1 0.000 0.500 0.500 x1
Ru1 0.500 0.500 0.000 x1

Density in g/cm3: 8.642
Raw formation energy in eV per atom: 0.3093
Calculated total energy in eV/atom: -7.625

=====

(7)
VASP calculation (PBE) on a geometry-optimized MnSb2Ru structure.

a = 4.860 Å, b = 4.860 Å, c = 14.822 Å
α = 90.00°, β = 90.00°, γ = 90.00°
Space group I-42d (No. 122)
Symmetry-distinct sites (fractional):
Mn1 0.000 0.000 0.000 x4
Sb1 0.235 0.250 0.125 x8
Ru1 0.000 0.000 0.500 x4

Density in g/cm3: 7.579
Raw formation energy in eV per atom: 0.6500
Calculated total energy in eV/atom: -6.023
Energy above the lowest structure with this stoichiometry in meV per atom: 601

=====

(8)
VASP calculation (PBE) on a geometry-optimized Mn2SbRu structure.

a = 3.0409 Å, b = 3.0409 Å, c = 25.1610 Å
α = 90.00°, β = 90.00°, γ = 120.00°
Space group R3m (No. 160, hexagonal axes)
Symmetry-distinct sites (fractional):
Mn1 0.0000 0.0000 0.0000 x3
Mn2 0.0000 0.0000 0.2499 x3
Sb1 0.0000 0.0000 0.7570 x3
Ru1 0.0000 0.0000 0.5050 x3

Density in g/cm3: 8.226
Raw formation energy in eV per atom: 0.4582
Calculated total energy in eV/atom: -7.476

=====

(9)
VASP calculation (PBE) on a geometry-optimized Mn2SbRu structure.

a = 5.320 Å, b = 7.505 Å, c = 3.093 Å
α = 90.00°, β = 90.00°, γ = 90.00°
Space group Cmmm (No. 65)
Symmetry-distinct sites (fractional):
Mn1 0.250 0.250 0.000 x4
Sb1 0.000 0.000 0.500 x2
Ru1 0.000 0.500 0.500 x2

Density in g/cm3: 8.947
Raw formation energy in eV per atom: 0.1693
Calculated total energy in eV/atom: -7.765

=====

(10)
VASP calculation (PBE) on a geometry-optimized Mn2SbRu structure.

a = 3.018 Å, b = 3.800 Å, c = 5.413 Å
α = 90.00°, β = 90.00°, γ = 90.00°
Space group Pmmm (No. 47)
Symmetry-distinct sites (fractional):
Mn1 0.000 0.000 0.227 x2
Sb1 0.500 0.500 0.500 x1
Ru1 0.500 0.500 0.000 x1

Density in g/cm3: 8.901
Raw formation energy in eV per atom: 0.2018
Calculated total energy in eV/atom: -7.733

=====

(11)
VASP calculation (PBE) on a geometry-optimized MnSbRu structure.

a = 4.4099 Å, b = 4.4099 Å, c = 3.0761 Å
α = 90.00°, β = 90.00°, γ = 120.00°
Space group P-6m2 (No. 187)
Symmetry-distinct sites (fractional):
Mn1 0.0000 0.0000 0.0000 x1
Sb1 0.6667 0.3333 0.5000 x1
Ru1 0.3333 0.6667 0.5000 x1

Density in g/cm3: 8.903
Raw formation energy in eV per atom: 0.1751
Calculated total energy in eV/atom: -7.348

=====

(12)
VASP calculation (PBE) on a geometry-optimized MnSbRu structure.

a = 2.942 Å, b = 2.942 Å, c = 10.801 Å
α = 90.00°, β = 90.00°, γ = 90.00°
Space group I4mm (No. 107)
Symmetry-distinct sites (fractional):
Mn1 0.000 0.000 0.000 x2
Sb1 0.000 0.000 0.675 x2
Ru1 0.000 0.000 0.366 x2

Density in g/cm3: 9.868
Raw formation energy in eV per atom: 0.3546
Calculated total energy in eV/atom: -7.168

=====

(13)
VASP calculation (PBE) on a geometry-optimized MnSbRu structure.

a = 3.827 Å, b = 4.124 Å, c = 6.528 Å
α = 90.00°, β = 90.00°, γ = 90.00°
Space group Pmm2 (No. 25)
Symmetry-distinct sites (fractional):
Mn1 0.000 0.000 0.000 x1
Mn2 0.000 0.500 0.301 x1
Sb1 0.000 0.000 0.588 x1
Sb2 0.500 0.500 0.998 x1
Ru1 0.500 0.000 0.283 x1
Ru2 0.500 0.500 0.584 x1

Density in g/cm3: 8.952
Raw formation energy in eV per atom: 0.0476
Calculated total energy in eV/atom: -7.475

=====

(14)
VASP calculation (PBE) on a geometry-optimized Mn2SbRu structure.

a = 3.843 Å, b = 3.843 Å, c = 7.861 Å
α = 90.00°, β = 90.00°, γ = 90.00°
Space group I4/mmm (No. 139)
Symmetry-distinct sites (fractional):
Mn1 0.000 0.500 0.250 x4
Sb1 0.000 0.000 0.000 x2
Ru1 0.000 0.000 0.500 x2

Density in g/cm3: 9.519
Raw formation energy in eV per atom: 0.1563
Calculated total energy in eV/atom: -7.778

=====

(15)
VASP calculation (PBE) on a geometry-optimized MnSb2Ru structure.

a = 3.501 Å, b = 3.835 Å, c = 5.543 Å
α = 90.00°, β = 90.00°, γ = 90.00°
Space group Pmm2 (No. 25)
Symmetry-distinct sites (fractional):
Mn1 0.000 0.000 0.000 x1
Sb1 0.000 0.000 0.489 x1
Sb2 0.500 0.500 0.855 x1
Ru1 0.500 0.500 0.338 x1

Density in g/cm3: 8.917
Raw formation energy in eV per atom: 0.0994
Calculated total energy in eV/atom: -6.573
Energy above the lowest structure with this stoichiometry in meV per atom: 51

=====

(16)
VASP calculation (PBE) on a geometry-optimized MnSb2Ru structure.

a = 3.117 Å, b = 4.102 Å, c = 12.453 Å
α = 90.00°, β = 90.00°, γ = 90.00°
Space group Imm2 (No. 44)
Symmetry-distinct sites (fractional):
Mn1 0.000 0.000 0.000 x2
Sb1 0.000 0.000 0.392 x2
Sb2 0.000 0.500 0.150 x2
Ru1 0.000 0.500 0.711 x2

Density in g/cm3: 8.335
Raw formation energy in eV per atom: 0.0889
Calculated total energy in eV/atom: -6.584
Energy above the lowest structure with this stoichiometry in meV per atom: 40

=====

(17)
VASP calculation (PBE) on a geometry-optimized MnSb2Ru structure.

a = 3.253 Å, b = 3.253 Å, c = 7.835 Å
α = 90.00°, β = 90.00°, γ = 90.00°
Space group P4mm (No. 99)
Symmetry-distinct sites (fractional):
Mn1 0.000 0.000 0.000 x1
Sb1 0.000 0.000 0.382 x1
Sb2 0.500 0.500 0.800 x1
Ru1 0.500 0.500 0.182 x1

Density in g/cm3: 8.004
Raw formation energy in eV per atom: 0.0486
Calculated total energy in eV/atom: -6.624
Energy above the lowest structure with this stoichiometry in meV per atom: 0

=====

(18)
VASP calculation (PBE) on a geometry-optimized MnSb2Ru structure.

a = 3.200 Å, b = 3.200 Å, c = 6.510 Å
α = 90.00°, β = 90.00°, γ = 90.00°
Space group P4/mmm (No. 123)
Symmetry-distinct sites (fractional):
Mn1 0.000 0.000 0.000 x1
Sb1 0.500 0.500 0.241 x2
Ru1 0.000 0.000 0.500 x1

Density in g/cm3: 9.951
Raw formation energy in eV per atom: 0.2597
Calculated total energy in eV/atom: -6.413
Energy above the lowest structure with this stoichiometry in meV per atom: 211

=====

(19)
VASP calculation (PBE) on a geometry-optimized Mn2SbRu structure.

a = 6.128 Å, b = 6.128 Å, c = 6.128 Å
α = 90.00°, β = 90.00°, γ = 90.00°
Space group F-43m (No. 216)
Symmetry-distinct sites (fractional):
Mn1 0.000 0.000 0.000 x4
Mn2 0.250 0.250 0.250 x4
Sb1 0.250 0.250 0.750 x4
Ru1 0.000 0.000 0.500 x4

Density in g/cm3: 9.602
Raw formation energy in eV per atom: 0.0255
Calculated total energy in eV/atom: -7.909

=====

(20)
VASP calculation (PBE) on a geometry-optimized Mn2SbRu structure.

a = 3.0585 Å, b = 3.0585 Å, c = 24.9251 Å
α = 90.00°, β = 90.00°, γ = 120.00°
Space group R-3m (No. 166, hexagonal axes)
Symmetry-distinct sites (fractional):
Mn1 0.0000 0.0000 0.2430 x6
Sb1 0.0000 0.0000 0.0000 x3
Ru1 0.0000 0.0000 0.5000 x3

Density in g/cm3: 8.208
Raw formation energy in eV per atom: 0.4247
Calculated total energy in eV/atom: -7.510